# LaCo2Os | the Alexandria database | PBE | relaxed
data_LaCo2Os
_chemical_formula_sum 'La3 Co6 Os3'
_cell_length_a 2.8428
_cell_length_b 2.8428
_cell_length_c 27.5698
_cell_angle_alpha 90.00
_cell_angle_beta 90.00
_cell_angle_gamma 120.00
_symmetry_space_group_name_H-M 'R 3 m'
_symmetry_Int_Tables_number 160
_symmetry_space_group_name_Hall 'R 3 -2"'
loop_
_atom_site_label
_atom_site_type_symbol
_atom_site_fract_x
_atom_site_fract_y
_atom_site_fract_z
La1 La 0.0000 0.0000 0.0000
Co1 Co 0.0000 0.0000 0.4937
Co2 Co 0.0000 0.0000 0.7620
Os1 Os 0.0000 0.0000 0.2317
# Total magnetization   9.6 Bohr magnetons per cell
# Energy of formation from the pure elements   2.8 eV/f.u.
# D(E_F)   1.52 states/eV per atom
# V   193.0 Å³/cell
# E_tot   -0.25336 hartree per atom
# Energy above the lowest structure with this stoichiometry   0.725 eV per atom

=====

# YMg2Pb | the Alexandria database | PBE | relaxed
data_YMg2Pb
_chemical_formula_sum 'Y4 Mg8 Pb4'
_cell_length_a 4.438
_cell_length_b 4.438
_cell_length_c 22.861
_cell_angle_alpha 90.00
_cell_angle_beta 90.00
_cell_angle_gamma 90.00
_symmetry_space_group_name_H-M 'I -4 2 d'
_symmetry_Int_Tables_number 122
_symmetry_space_group_name_Hall 'I -4 2bw'
loop_
_atom_site_label
_atom_site_type_symbol
_atom_site_fract_x
_atom_site_fract_y
_atom_site_fract_z
Y1 Y 0.000 0.000 0.000
Mg1 Mg 0.248 0.250 0.625
Pb1 Pb 0.000 0.000 0.500
# Total magnetization   0.0 Bohr magnetons per cell
# Energy of formation from the pure elements   -0.2 eV/f.u.
# D(E_F)   0.47 states/eV per atom
# V   450.3 Å³/cell
# E_tot   -0.12460 hartree per atom